DFT (PBE+U) results for Al2WO after structural relaxation.

Output
* M_tot: 1.765 μB/f.u.
* crystal system: tetragonal
* electronic total energy: -20.7 eV/f.u.
* symmetry: I-42d (122)

Cell and atoms, written as POSCAR:
```
Al2WO
1.0
5.803 0.000 0.000
0.000 5.803 0.000
2.902 2.902 3.636
W O Al
2 2 4
direct
0.750 0.250 0.500
0.000 0.000 0.000
0.500 0.500 0.000
0.250 0.750 0.500
0.375 0.486 0.750
0.875 0.764 0.750
0.236 0.625 0.250
0.514 0.125 0.250
```